Entry 1:
{"formula": "Li2ZrNi", "functional": "PBE", "state": "relaxed", "lattice": [[3.498, 0.000, 0.000], [0.000, 3.793, 0.000], [0.000, 0.000, 4.893]], "species": ["Li", "Li", "Ni", "Zr"], "fractional_positions": [[0.000, 0.000, 0.000], [0.500, 0.500, 0.000], [0.500, 0.000, 0.500], [0.000, 0.500, 0.500]], "de_polymorph_ev_per_fu": 0.176, "rho_g_cm3": 4.2, "ef_ev_per_atom": 0.02}


Entry 2:
{"formula": "LiZr2Ni9", "functional": "PBE", "state": "relaxed", "lattice": [[4.845, 0.000, 0.000], [2.423, 4.196, 0.000], [2.423, 1.399, 7.856]], "species": ["Li", "Zr", "Zr", "Ni", "Ni", "Ni", "Ni", "Ni", "Ni", "Ni", "Ni", "Ni"], "fractional_positions": [[0.000, 0.000, 0.000], [0.864, 0.864, 0.408], [0.136, 0.136, 0.592], [0.666, 0.666, 0.001], [0.334, 0.334, 0.999], [0.500, 0.500, 0.500], [0.414, 0.414, 0.252], [0.920, 0.414, 0.252], [0.414, 0.920, 0.252], [0.586, 0.586, 0.748], [0.586, 0.080, 0.748], [0.080, 0.586, 0.748]], "de_polymorph_ev_per_fu": 0.424, "rho_g_cm3": 7.5, "ef_ev_per_atom": -0.24}


Entry 3:
{"formula": "LiZrNi", "functional": "PBE", "state": "relaxed", "lattice": [[-3.909, -1.295, 5.575], [2.699, -0.425, 1.794], [3.257, 9.469, -2.659]], "species": ["Li", "Li", "Li", "Li", "Zr", "Zr", "Zr", "Zr", "Ni", "Ni", "Ni", "Ni"], "fractional_positions": [[0.439, 0.000, 0.499], [0.439, 0.500, 0.999], [0.802, 0.000, 0.536], [0.802, 0.500, 0.036], [0.378, 0.000, 0.741], [0.378, 0.500, 0.241], [0.016, 0.000, 0.904], [0.016, 0.500, 0.404], [0.665, 0.000, 0.219], [0.665, 0.500, 0.719], [0.077, 0.000, 0.230], [0.077, 0.500, 0.730]], "de_polymorph_ev_per_fu": 0.363, "rho_g_cm3": 5.3, "ef_ev_per_atom": -0.06}


Entry 4:
{"formula": "Li3ZrNi8", "functional": "PBE", "state": "relaxed", "lattice": [[4.565, 0.000, 1.378], [2.075, 4.067, 1.378], [0.002, 0.001, 8.244]], "species": ["Li", "Li", "Li", "Zr", "Ni", "Ni", "Ni", "Ni", "Ni", "Ni", "Ni", "Ni"], "fractional_positions": [[0.374, 0.374, 0.877], [0.005, 0.005, 0.985], [0.492, 0.492, 0.523], [0.875, 0.875, 0.374], [0.937, 0.438, 0.186], [0.439, 0.938, 0.686], [0.438, 0.438, 0.186], [0.938, 0.938, 0.686], [0.187, 0.187, 0.438], [0.688, 0.688, 0.936], [0.438, 0.937, 0.186], [0.938, 0.439, 0.686]], "rho_g_cm3": 6.3, "ef_ev_per_atom": -0.19}


Entry 5:
{"formula": "LiZrNi", "functional": "PBE", "state": "relaxed", "lattice": [[-0.661, -4.132, -2.518], [2.597, -3.601, -2.035], [0.122, -2.621, 2.060]], "species": ["Li", "Ni", "Zr"], "fractional_positions": [[0.012, 0.012, 0.988], [0.671, 0.671, 0.329], [0.317, 0.317, 0.683]], "de_polymorph_ev_per_fu": 0.385, "rho_g_cm3": 5.5, "ef_ev_per_atom": -0.05}


Entry 6:
{"formula": "Li2ZrNi", "functional": "PBE", "state": "relaxed", "lattice": [[2.713, 0.000, 0.000], [0.000, 4.449, 0.000], [0.000, 0.000, 5.162]], "species": ["Li", "Li", "Ni", "Zr"], "fractional_positions": [[0.000, 0.000, 0.032], [0.000, 0.000, 0.468], [0.500, 0.500, 0.250], [0.500, 0.500, 0.750]], "de_polymorph_ev_per_fu": 0.696, "rho_g_cm3": 4.4, "ef_ev_per_atom": 0.15}


Entry 7:
{"formula": "Li2ZrNi", "functional": "PBE", "state": "relaxed", "lattice": [[3.201, 0.000, 0.000], [0.000, 3.246, 0.011], [0.000, 3.227, 6.712]], "species": ["Li", "Li", "Ni", "Zr"], "fractional_positions": [[0.000, 0.965, 0.035], [0.500, 0.232, 0.268], [0.000, 0.496, 0.503], [0.500, 0.806, 0.694]], "de_polymorph_ev_per_fu": 0.000, "rho_g_cm3": 3.9, "ef_ev_per_atom": -0.02}


Entry 8:
{"formula": "LiZrNi4", "functional": "PBE", "state": "relaxed", "lattice": [[-0.098, -2.880, 3.836], [4.069, -1.925, 1.659], [1.836, 1.498, 4.172]], "species": ["Li", "Ni", "Ni", "Ni", "Ni", "Zr"], "fractional_positions": [[0.000, 0.000, 0.000], [0.123, 0.626, 0.626], [0.626, 0.626, 0.626], [0.626, 0.123, 0.626], [0.626, 0.626, 0.123], [0.250, 0.250, 0.250]], "rho_g_cm3": 7.1, "ef_ev_per_atom": -0.35}


Entry 9:
{"formula": "LiZrNi", "functional": "PBE", "state": "relaxed", "lattice": [[-2.715, -1.940, -3.208], [-0.058, -2.718, 1.692], [-3.908, 3.052, 4.769]], "species": ["Li", "Li", "Zr", "Zr", "Ni", "Ni"], "fractional_positions": [[0.016, 0.500, 0.552], [0.867, 0.000, 0.257], [0.547, 0.000, 0.617], [0.219, 0.000, 0.968], [0.389, 0.500, 0.292], [0.702, 0.500, 0.938]], "de_polymorph_ev_per_fu": 0.335, "rho_g_cm3": 5.4, "ef_ev_per_atom": -0.07}


Entry 10:
{"formula": "Li2ZrNi", "functional": "PBE", "state": "relaxed", "lattice": [[3.636, 0.000, 0.000], [0.000, 3.636, 0.000], [1.818, 1.818, 10.177]], "species": ["Ni", "Ni", "Zr", "Zr", "Li", "Li", "Li", "Li"], "fractional_positions": [[0.500, 0.500, 0.000], [0.250, 0.750, 0.500], [0.000, 0.000, 0.000], [0.750, 0.250, 0.500], [0.584, 0.125, 0.250], [0.166, 0.625, 0.250], [0.375, 0.416, 0.750], [0.875, 0.834, 0.750]], "de_polymorph_ev_per_fu": 0.590, "rho_g_cm3": 4.0, "ef_ev_per_atom": 0.13}


Entry 11:
{"formula": "Li2ZrNi", "functional": "PBE", "state": "relaxed", "lattice": [[-3.964, -1.595, -1.087], [-0.631, -1.780, -3.983], [-0.592, -4.366, -0.401]], "species": ["Li", "Li", "Ni", "Zr"], "fractional_positions": [[0.000, 0.000, 0.999], [0.750, 0.750, 0.750], [0.500, 0.500, 0.500], [0.250, 0.250, 0.250]], "de_polymorph_ev_per_fu": 0.301, "rho_g_cm3": 4.5, "ef_ev_per_atom": 0.06}


Entry 12:
{"formula": "LiZrNi", "functional": "PBE", "state": "relaxed", "lattice": [[-4.046, 0.686, -1.195], [-1.847, -2.574, -2.870], [-3.077, -2.704, 1.222]], "species": ["Li", "Ni", "Zr"], "fractional_positions": [[0.000, 0.000, 0.000], [0.500, 0.500, 0.500], [0.250, 0.250, 0.250]], "de_polymorph_ev_per_fu": 2.160, "rho_g_cm3": 4.7, "ef_ev_per_atom": 0.54}


Copy entry 9 word for word.
{"formula": "LiZrNi", "functional": "PBE", "state": "relaxed", "lattice": [[-2.715, -1.940, -3.208], [-0.058, -2.718, 1.692], [-3.908, 3.052, 4.769]], "species": ["Li", "Li", "Zr", "Zr", "Ni", "Ni"], "fractional_positions": [[0.016, 0.500, 0.552], [0.867, 0.000, 0.257], [0.547, 0.000, 0.617], [0.219, 0.000, 0.968], [0.389, 0.500, 0.292], [0.702, 0.500, 0.938]], "de_polymorph_ev_per_fu": 0.335, "rho_g_cm3": 5.4, "ef_ev_per_atom": -0.07}


Repeat the eleventh record exactly.
{"formula": "Li2ZrNi", "functional": "PBE", "state": "relaxed", "lattice": [[-3.964, -1.595, -1.087], [-0.631, -1.780, -3.983], [-0.592, -4.366, -0.401]], "species": ["Li", "Li", "Ni", "Zr"], "fractional_positions": [[0.000, 0.000, 0.999], [0.750, 0.750, 0.750], [0.500, 0.500, 0.500], [0.250, 0.250, 0.250]], "de_polymorph_ev_per_fu": 0.301, "rho_g_cm3": 4.5, "ef_ev_per_atom": 0.06}